Below is a relaxed structure of VNiPdRu, with properties calculated at the GGA-PBE level.

The total energy is -7.384 eV per atom. The calculation puts the mass density at 9.8 g cm⁻³. The formation enthalpy at 0 K comes out at -4.1 kJ/mol of atoms.

The space group is F-43m (No. 216) and the conventional cell measures 5.9935, 5.9935 and 5.9935 Å, with angles of 90.00, 90.00 and 90.00 degrees. The inequivalent atoms are V at (0.0000, 0.0000, 0.0000), Ni at (0.0000, 0.0000, 0.5000), Pd at (0.2500, 0.2500, 0.7500) and Ru at (0.2500, 0.2500, 0.2500).

=====

Below is a relaxed structure of NiPdRuW, with properties calculated at the GGA-PBE level.

The total energy is -8.135 eV per atom. The calculation puts the mass density at 13.1 g cm⁻³. The formation enthalpy at 0 K comes out at 16.0 kJ/mol of atoms.

The space group is F-43m (No. 216) and the conventional cell measures 6.1061, 6.1061 and 6.1061 Å, with angles of 90.00, 90.00 and 90.00 degrees. The inequivalent atoms are Ni at (0.0000, 0.0000, 0.0000), Pd at (0.2500, 0.2500, 0.7500), Ru at (0.0000, 0.0000, 0.5000) and W at (0.2500, 0.2500, 0.2500).

=====

Below is a relaxed structure of NiPdS4, with properties calculated at the GGA-PBE level.

The total energy is -4.782 eV per atom. The calculation puts the mass density at 3.5 g cm⁻³. The value obtained for the energy above the most stable polymorph in this dataset is 0 kJ/mol of formula units. As for the uncorrected formation energy: -0.202 eV/atom.

The space group is P-1 (No. 2) and the conventional cell measures 5.4933, 7.6206 and 7.6528 Å, with angles of 73.05, 69.75 and 69.61 degrees. The inequivalent atoms are Ni at (0.0000, 0.0000, 0.0000), Ni at (0.5000, 0.5000, 0.5000), Pd at (0.2500, 0.2447, 0.2552), S at (0.0545, 0.8942, 0.7512), S at (0.0693, 0.5029, 0.6128), S at (0.4313, 0.8867, 0.9967) and S at (0.4449, 0.7492, 0.6067).

=====

Below is a relaxed structure of NiPd3S4, with properties calculated at the GGA-PBE level.

The total energy is -4.958 eV per atom. The calculation puts the mass density at 6.0 g cm⁻³. As for the uncorrected formation energy: -0.225 eV/atom.

The space group is Pmn2_1 (No. 31) and the conventional cell measures 7.1974, 6.3052 and 6.2110 Å, with angles of 90.00, 90.00 and 90.00 degrees. The inequivalent atoms are Ni at (0.0000, 0.1224, 0.0000), Pd at (0.0000, 0.8473, 0.6044), Pd at (0.2026, 0.7068, 0.9880), S at (0.0000, 0.2193, 0.6599), S at (0.0000, 0.8623, 0.2285) and S at (0.2152, 0.3442, 0.1283).

=====

Below is a relaxed structure of NiPd2S4, with properties calculated at the GGA-PBE level.

The total energy is -4.940 eV per atom. The calculation puts the mass density at 5.4 g cm⁻³. The value obtained for the energy above the most stable polymorph in this dataset is 0 kJ/mol of formula units. As for the uncorrected formation energy: -0.272 eV/atom.

The space group is Imma (No. 74) and the conventional cell measures 6.9423, 7.0553 and 9.9516 Å, with angles of 90.00, 90.00 and 90.00 degrees. The inequivalent atoms are Ni at (0.2500, 0.2500, 0.2500), Pd at (0.0000, 0.0000, 0.0000), Pd at (0.0000, 0.2500, 0.6280), S at (0.0000, 0.0321, 0.2427) and S at (0.2341, 0.2500, 0.0197).

=====

Below is a relaxed structure of NiPd2S4, with properties calculated at the GGA-PBE level.

The total energy is -4.376 eV per atom. The calculation puts the mass density at 5.3 g cm⁻³. The value obtained for the energy above the most stable polymorph in this dataset is 381 kJ/mol of formula units. As for the uncorrected formation energy: 0.292 eV/atom.

The space group is I4/mmm (No. 139) and the conventional cell measures 4.6385, 4.6385 and 11.5553 Å, with angles of 90.00, 90.00 and 90.00 degrees. The inequivalent atoms are Ni at (0.0000, 0.0000, 0.0000), Pd at (0.0000, 0.0000, 0.3840), S at (0.0000, 0.0000, 0.1903) and S at (0.0000, 0.5000, 0.0000).